No. 1
8
Lattice="-0.341 4.636 4.707 -5.196 -3.099 2.676 -1.164 -0.631 5.185" Properties=species:S:1:pos:R:3 comment="PBE TaCo2Tc, optimized geometry" magnetic_moment_mub_per_cell=0.0 e_above_lowest_polymorph_ev_per_atom=0.536 dos_at_fermi_per_ev_atom=1.64 e_form_ev_per_fu=1.56 pbc="T T T"
Co -1.150 2.305 4.524
Co -3.584 -1.468 3.605
Co -3.002 0.071 6.685
Co -5.664 0.903 10.321
Ta 0.000 0.000 0.000
Ta -2.137 2.386 6.792
Tc -4.564 -1.481 5.776
Tc -2.768 0.768 3.691

***

No. 2
32
Lattice="6.245 0.004 0.000 -2.074 5.890 0.000 0.000 0.000 10.189" Properties=species:S:1:pos:R:3 comment="PBE TaCo6Tc, optimized geometry" magnetic_moment_mub_per_cell=6.2 dos_at_fermi_per_ev_atom=1.02 e_form_ev_per_fu=-0.51 pbc="T T T"
Tc 2.085 2.947 0.014
Tc -0.026 4.441 7.642
Tc 4.197 1.453 7.642
Tc 2.085 2.947 5.081
Co 2.047 5.142 6.399
Co 2.047 5.142 8.885
Co 0.039 2.234 3.859
Co 2.077 5.114 3.859
Co 0.000 0.000 7.642
Co 4.168 3.641 6.399
Co 2.094 0.781 1.235
Co 4.131 3.660 3.859
Co 2.094 0.781 3.859
Co 2.085 2.947 7.642
Co 4.131 3.660 1.235
Co 2.085 2.947 2.547
Co 0.000 0.000 2.547
Co 2.124 0.752 6.399
Co 0.003 2.253 8.885
Co 0.039 4.395 5.155
Co 0.039 4.395 10.129
Co 0.039 2.234 1.235
Co 4.168 3.641 8.885
Co 2.124 0.752 8.885
Co 2.077 5.114 1.235
Co 4.132 1.499 5.155
Co 0.003 2.253 6.399
Co 4.132 1.499 10.129
Ta 0.000 0.000 5.084
Ta 0.000 0.000 0.011
Ta 4.186 1.461 2.547
Ta -0.015 4.433 2.547

***

No. 3
4
Lattice="-1.211 4.174 -0.232 -2.320 -0.605 1.226 1.409 0.679 4.857" Properties=species:S:1:pos:R:3 comment="PBE TaCoTc2, optimized geometry" magnetic_moment_mub_per_cell=1.9 e_above_lowest_polymorph_ev_per_atom=0.128 dos_at_fermi_per_ev_atom=1.19 e_form_ev_per_fu=0.27 pbc="T T T"
Ta -1.289 2.143 4.446
Co -0.833 2.105 1.405
Tc -0.508 0.020 3.009
Tc -2.268 -0.588 1.259

***

No. 4
4
Lattice="-1.231 -0.836 4.385 3.573 -1.779 2.347 -0.400 3.755 -2.681" Properties=species:S:1:pos:R:3 comment="PBE TaCo2Tc, optimized geometry" magnetic_moment_mub_per_cell=0.0 e_above_lowest_polymorph_ev_per_atom=0.144 dos_at_fermi_per_ev_atom=1.48 e_form_ev_per_fu=-0.01 pbc="T T T"
Co 3.572 -1.779 2.348
Co -0.231 0.805 2.535
Ta 0.771 2.447 0.685
Tc 2.173 0.334 1.516